[1]
TlCo2Rh (GGA-PBE, optimized geometry); energy relative to the elements = 1.83 eV per formula unit; relative energy among the computed polymorphs = 156 meV/atom; final energy = -22.1 eV/f.u.; space-group type = Cmmm (65)
1.0
2.722 -3.743 0.000
2.722 3.743 0.000
0.000 0.000 2.889
Tl Co Rh
1 2 1
Direct
0.000 0.000 0.000 Tl
0.000 0.500 0.500 Co
0.500 0.000 0.500 Co
0.500 0.500 0.000 Rh

***

[2]
TlCoRh (GGA-PBE, optimized geometry); energy relative to the elements = 1.01 eV per formula unit; relative energy among the computed polymorphs = 0 meV/atom; final energy = -15.8 eV/f.u.; space-group type = I4mm (107)
1.0
-1.486 1.486 5.472
1.486 -1.486 5.472
1.486 1.486 -5.472
Tl Co Rh
1 1 1
Direct
0.000 0.000 0.000 Tl
0.322 0.322 0.000 Co
0.688 0.688 0.000 Rh

***

[3]
TlCoRh3 (GGA-PBE, optimized geometry); energy relative to the elements = 4.00 eV per formula unit; relative energy among the computed polymorphs = 0 meV/atom; final energy = -27.5 eV/f.u.; space-group type = Pm-3m (221)
1.0
4.519 0.000 0.000
0.000 4.519 0.000
0.000 0.000 4.519
Tl Co Rh
1 1 3
Direct
0.000 0.000 0.000 Tl
0.500 0.500 0.500 Co
0.000 0.500 0.500 Rh
0.500 0.000 0.500 Rh
0.500 0.500 0.000 Rh